BaHg2Mo | the Alexandria database | PBE | relaxed; formation energy = 0.509 eV per atom; polymorph energy (0 for the lowest one) = 144.9 meV/atom; space group = Fm-3m; crystal system = cubic
1.0
0.000 3.852 3.852
3.852 0.000 3.852
3.852 3.852 0.000
Mo Hg Ba
1 2 1
direct
0.000 0.000 0.000
0.250 0.250 0.250
0.750 0.750 0.750
0.500 0.500 0.500